# 1
DFT (PBE) results for crystalline PrTh2Se5 at its relaxed geometry.

Geometry as CIF:
```
data_PrTh2Se5
_cell_length_a 12.919
_cell_length_b 8.369
_cell_length_c 7.908
_cell_angle_alpha 90.00
_cell_angle_beta 90.00
_cell_angle_gamma 90.00
_symmetry_space_group_name_H-M 'P n m a'
_symmetry_Int_Tables_number 62
_symmetry_space_group_name_Hall '-P 2ac 2n'
loop_
_atom_site_label
_atom_site_type_symbol
_atom_site_fract_x
_atom_site_fract_y
_atom_site_fract_z
_atom_site_occupancy
Pr1 Pr 0.005 0.250 0.082 1
Th1 Th 0.181 0.501 0.511 1
Se1 Se 0.001 0.250 0.471 1
Se2 Se 0.110 0.543 0.161 1
Se3 Se 0.182 0.250 0.820 1
Se4 Se 0.214 0.750 0.793 1
```

---

# 2
DFT (PBE) results for crystalline PrTh4Se6 at its relaxed geometry.

Geometry as CIF:
```
data_PrTh4Se6
_cell_length_a 4.071
_cell_length_b 14.068
_cell_length_c 21.088
_cell_angle_alpha 90.00
_cell_angle_beta 90.00
_cell_angle_gamma 90.00
_symmetry_space_group_name_H-M 'C m c m'
_symmetry_Int_Tables_number 63
_symmetry_space_group_name_Hall '-C 2c 2'
loop_
_atom_site_label
_atom_site_type_symbol
_atom_site_fract_x
_atom_site_fract_y
_atom_site_fract_z
_atom_site_occupancy
Pr1 Pr 0.000 0.161 0.250 1
Th1 Th 0.000 0.090 0.624 1
Th2 Th 0.000 0.357 0.536 1
Se1 Se 0.000 0.000 0.000 1
Se2 Se 0.000 0.182 0.750 1
Se3 Se 0.000 0.263 0.099 1
Se4 Se 0.000 0.446 0.666 1
```

---

# 3
# PrTh2Se4 (PBE, relaxed)
data_PrTh2Se4
_cell_length_a 4.049
_cell_length_b 13.658
_cell_length_c 14.524
_cell_angle_alpha 90.00
_cell_angle_beta 90.00
_cell_angle_gamma 90.00
_symmetry_space_group_name_H-M 'C m c m'
_symmetry_Int_Tables_number 63
_symmetry_space_group_name_Hall '-C 2c 2'
loop_
_atom_site_label
_atom_site_type_symbol
_atom_site_fract_x
_atom_site_fract_y
_atom_site_fract_z
_atom_site_occupancy
Pr1 Pr 0.000 0.115 0.250 1
Th1 Th 0.000 0.358 0.064 1
Se1 Se 0.000 0.000 0.000 1
Se2 Se 0.000 0.285 0.630 1
Se3 Se 0.000 0.451 0.250 1
# E above lowest polymorph (eV/atom): 0.0232

---

# 4
# PrThSe2 (PBE, relaxed)
data_PrThSe2
_cell_length_a 4.1950
_cell_length_b 4.1950
_cell_length_c 21.1055
_cell_angle_alpha 90.00
_cell_angle_beta 90.00
_cell_angle_gamma 120.00
_symmetry_space_group_name_H-M 'R -3 m'
_symmetry_Int_Tables_number 166
_symmetry_space_group_name_Hall '-R 3 2"'
loop_
_atom_site_label
_atom_site_type_symbol
_atom_site_fract_x
_atom_site_fract_y
_atom_site_fract_z
_atom_site_occupancy
Pr1 Pr 0.0000 0.0000 0.0000 1
Th1 Th 0.0000 0.0000 0.5000 1
Se1 Se 0.0000 0.0000 0.2494 1
# E above lowest polymorph (eV/atom): 0.0000

---

Energy relative to the elements, uncorrected, record by record: -1.748; -1.654; -1.644; -1.682 eV per atom
E_tot, record by record: -204.1; -294.2; -180.3; -77.7 eV for the cell shown
N(E_F), record by record: 8.4; 21.9; 20.3; 6.8 states/eV per cell